Density functional theory data (SCAN) for a crystal of TaMn2Ni relaxed with PBEsol.

Output
Uncorrected energy (Ha/atom): -1.1005
Relative energy among the computed polymorphs (meV per atom): 0
Spin magnetization (μB/atom): 0.947
Energy of formation from the pure elements (eV/atom): -0.130
D(E_F) (states/eV per cell): 2.90

Cell lengths 3.027, 3.027, 5.486 Å; angles 90.00, 90.00, 90.00 degrees
Space group P4mm (No. 99)
One atom of each set of equivalent atoms:
Ta: 0.000 0.000 0.000
Mn: 0.000 0.000 0.496
Mn: 0.500 0.500 0.268
Ni: 0.500 0.500 0.735



Density functional theory data (SCAN) for a crystal of NaSiIN2 relaxed with PBEsol.

Output
Uncorrected energy (Ha/atom): -0.4977
Formation energy from raw total energies (eV/atom): 0.37
Spin magnetization (μB/atom): 0.001
D(E_F) (states/eV per cell): 2.20

Cell lengths 3.666, 3.666, 6.178 Å; angles 90.00, 90.00, 90.00 degrees
Space group P4/mmm (No. 123)
One atom of each set of equivalent atoms:
Na: 0.000 0.000 0.000
Si: 0.500 0.500 0.500
I: 0.500 0.500 0.000
N: 0.000 0.500 0.500



Density functional theory data (SCAN) for a crystal of HfSb2OsO relaxed with PBEsol.

Output
Uncorrected energy (Ha/atom): -1.5737
Formation energy from raw total energies (eV/atom): 0.24
Spin magnetization (μB/atom): 0.395
D(E_F) (states/eV per cell): 3.49

Cell lengths 5.499, 5.499, 3.783 Å; angles 90.00, 90.00, 90.00 degrees
Space group P4/mmm (No. 123)
One atom of each set of equivalent atoms:
Hf: 0.000 0.000 0.000
Sb: 0.000 0.500 0.000
Os: 0.500 0.500 0.500
O: 0.000 0.000 0.500